No. 1
LaY2TmAs4: relaxed, GGA-PBE.

formation enthalpy at 0 K: -1528 meV/atom

Cell and atoms, written as POSCAR:
```
LaY2TmAs4
1.0
7.227 0.000 0.000
0.000 4.178 0.000
-2.406 0.000 6.819
La Y Tm As
1 2 1 4
Cartesian
0.000 0.000 0.000 La
-1.203 2.089 3.410 Y
2.410 0.000 3.410 Y
3.613 2.089 0.000 Tm
0.056 0.000 5.105 As
1.260 2.089 1.755 As
3.560 2.089 5.065 As
4.764 0.000 1.714 As
```

=====

No. 2
PmHf2Ga9: relaxed, GGA-PBE.

formation enthalpy at 0 K: -418 meV/atom

Cell and atoms, written as POSCAR:
```
PmHf2Ga9
1.0
4.208 0.000 0.000
0.000 4.208 0.000
0.000 0.000 12.476
Pm Hf Ga
1 2 9
Cartesian
0.000 0.000 0.000 Pm
0.000 0.000 4.260 Hf
0.000 0.000 8.216 Hf
0.000 2.104 2.237 Ga
0.000 2.104 6.238 Ga
0.000 2.104 10.239 Ga
2.104 0.000 2.237 Ga
2.104 0.000 6.238 Ga
2.104 0.000 10.239 Ga
2.104 2.104 0.000 Ga
2.104 2.104 4.203 Ga
2.104 2.104 8.273 Ga
```